# NaTc PBE relaxed
data_NaTc
_chemical_formula_sum 'Na6 Tc6'
_cell_length_a 9.4437
_cell_length_b 9.4437
_cell_length_c 3.0346
_cell_angle_alpha 90.00
_cell_angle_beta 90.00
_cell_angle_gamma 120.00
_symmetry_space_group_name_H-M 'P 63/m'
_symmetry_Int_Tables_number 176
_symmetry_space_group_name_Hall '-P 6c'
loop_
_atom_site_label
_atom_site_type_symbol
_atom_site_fract_x
_atom_site_fract_y
_atom_site_fract_z
Na1 Na 0.0746 0.2731 0.2500
Tc1 Tc 0.1128 0.5745 0.2500
# * total DFT energy (no corrections): -57.50 eV/cell
# * volume: 234 Å³/cell
# * formation enthalpy at 0 K: 1.051 eV per atom